Entry 1:
! PBE YLuMnZn, optimized geometry; values from VASP
! formation enthalpy at 0 K: -0.05 eV/atom
! crystal system: cubic
&SYSTEM
  ibrav = 0, nat = 4, ntyp = 4
/
ATOMIC_SPECIES
Y 88.91 Y.upf
Lu 174.97 Lu.upf
Zn 65.41 Zn.upf
Mn 54.94 Mn.upf
CELL_PARAMETERS angstrom
4.969 0.000 0.000
2.485 4.304 0.000
2.485 1.435 4.058
ATOMIC_POSITIONS angstrom
Y 7.454 4.304 3.043
Lu 2.485 1.435 1.014
Zn 4.969 2.869 2.029
Mn 0.000 0.000 0.000

---

Entry 2:
! PBE LiAcBeSi2, optimized geometry; values from VASP
! crystal system: tetragonal
! E_form (uncorrected): -174.8 kJ/mol of formula units
&SYSTEM
  ibrav = 0, nat = 5, ntyp = 4
/
ATOMIC_SPECIES
Be 9.01 Be.upf
Li 6.94 Li.upf
Si 28.09 Si.upf
Ac 227.00 Ac.upf
CELL_PARAMETERS angstrom
-1.062 4.082 0.898
-2.509 0.118 -3.505
-2.045 -3.689 3.991
ATOMIC_POSITIONS angstrom
Be -2.446 1.247 1.793
Li -3.170 -0.735 -0.409
Si -2.892 -1.200 2.030
Ac 0.000 0.000 0.000
Si -2.724 1.711 -0.645

---

Entry 3:
! PBE Ho4ZnIn3, optimized geometry; values from VASP
! formation enthalpy at 0 K: -0.38 eV/atom
! crystal system: orthorhombic
! energy above the lowest structure with this stoichiometry: 56 meV per atom
&SYSTEM
  ibrav = 0, nat = 8, ntyp = 3
/
ATOMIC_SPECIES
Zn 65.41 Zn.upf
Ho 164.93 Ho.upf
In 114.82 In.upf
CELL_PARAMETERS angstrom
-2.571 2.663 -0.623
-3.013 -2.251 2.811
4.108 6.146 9.323
ATOMIC_POSITIONS angstrom
Zn -2.476 0.679 1.812
Ho 0.622 0.931 1.412
In 2.532 7.043 8.352
Ho 1.426 5.388 5.842
Ho 1.988 4.103 9.337
Ho -1.426 2.250 4.194
In 0.868 2.427 6.794
In 1.731 2.590 3.928

---

Entry 4:
! PBE KAlBi3, optimized geometry; values from VASP
! formation enthalpy at 0 K: 1.18 eV/atom
! crystal system: cubic
! energy above the lowest structure with this stoichiometry: 1025 meV per atom
&SYSTEM
  ibrav = 0, nat = 5, ntyp = 3
/
ATOMIC_SPECIES
Bi 208.98 Bi.upf
K 39.10 K.upf
Al 26.98 Al.upf
CELL_PARAMETERS angstrom
5.963 0.000 0.000
0.000 5.963 0.000
0.000 0.000 5.963
ATOMIC_POSITIONS angstrom
Bi 0.000 2.982 0.000
K 0.000 0.000 0.000
Bi 0.000 0.000 2.982
Bi 2.982 0.000 0.000
Al 2.982 2.982 2.982

---

Entry 5:
! PBE Sc2CuPbC, optimized geometry; values from VASP
! formation enthalpy at 0 K: 1.73 eV/atom
! crystal system: tetragonal
! energy above the lowest structure with this stoichiometry: 2022 meV per atom
&SYSTEM
  ibrav = 0, nat = 5, ntyp = 4
/
ATOMIC_SPECIES
Cu 63.55 Cu.upf
Sc 44.96 Sc.upf
Pb 207.20 Pb.upf
C 12.01 C.upf
CELL_PARAMETERS angstrom
-3.589 3.722 -1.627
-1.322 -2.823 -3.544
-3.768 -2.239 3.189
ATOMIC_POSITIONS angstrom
Cu -0.661 -1.412 -1.772
Sc -1.795 1.861 -0.813
Pb 0.000 0.000 0.000
C -4.339 -0.670 -0.991
Sc -1.884 -1.120 1.595

---

Entry 6:
! PBE Sr2CoTeAs, optimized geometry; values from VASP
! crystal system: tetragonal
! E_form (uncorrected): 183.6 kJ/mol of formula units
! energy above the lowest structure with this stoichiometry: 1148 meV per atom
&SYSTEM
  ibrav = 0, nat = 5, ntyp = 4
/
ATOMIC_SPECIES
Co 58.93 Co.upf
As 74.92 As.upf
Sr 87.62 Sr.upf
Te 127.60 Te.upf
CELL_PARAMETERS angstrom
6.151 0.000 0.000
0.000 5.422 0.000
0.000 0.000 6.151
ATOMIC_POSITIONS angstrom
Co 3.076 2.711 3.076
As 0.000 2.711 0.000
Sr 0.000 0.000 3.076
Sr 3.076 0.000 0.000
Te 0.000 0.000 0.000

---

Entry 7:
! PBE PrEr2Hg5, optimized geometry; values from VASP
! formation enthalpy at 0 K: -0.44 eV/atom
! crystal system: tetragonal
&SYSTEM
  ibrav = 0, nat = 8, ntyp = 3
/
ATOMIC_SPECIES
Hg 200.59 Hg.upf
Er 167.26 Er.upf
Pr 140.91 Pr.upf
CELL_PARAMETERS angstrom
5.246 0.000 0.000
0.000 5.246 0.000
-2.623 -2.623 7.349
ATOMIC_POSITIONS angstrom
Hg 2.623 0.000 5.428
Hg 0.000 2.623 5.428
Er 2.623 2.623 3.430
Pr 0.000 0.000 0.000
Hg 0.000 2.623 1.921
Er 0.000 0.000 3.920
Hg 2.623 0.000 1.921
Hg 2.623 2.623 0.000

---

Entry 8:
! PBE Hf2CoCl, optimized geometry; values from VASP
! crystal system: tetragonal
! E_form (uncorrected): 56.8 kJ/mol of formula units
! energy above the lowest structure with this stoichiometry: 172 meV per atom
&SYSTEM
  ibrav = 0, nat = 8, ntyp = 3
/
ATOMIC_SPECIES
Hf 178.49 Hf.upf
Co 58.93 Co.upf
Cl 35.45 Cl.upf
CELL_PARAMETERS angstrom
5.542 0.000 0.000
0.000 5.542 0.000
2.771 2.771 6.035
ATOMIC_POSITIONS angstrom
Hf 6.927 7.153 4.526
Co 5.542 2.771 3.017
Co 0.000 0.000 0.000
Hf 4.383 1.385 1.509
Cl 2.771 2.771 0.000
Cl 2.771 5.542 3.017
Hf 1.159 4.156 1.509
Hf 4.156 3.930 4.526

---

Entry 9:
! PBE SiAg2Pt, optimized geometry; values from VASP
! crystal system: monoclinic
! E_form (uncorrected): -31.6 kJ/mol of formula units
&SYSTEM
  ibrav = 0, nat = 4, ntyp = 3
/
ATOMIC_SPECIES
Ag 107.87 Ag.upf
Pt 195.08 Pt.upf
Si 28.09 Si.upf
CELL_PARAMETERS angstrom
4.186 0.000 0.000
0.000 2.966 -0.008
0.000 1.469 5.321
ATOMIC_POSITIONS angstrom
Ag 2.093 1.298 1.343
Pt 0.000 2.773 2.776
Ag 0.000 4.258 5.244
Si 2.093 2.759 3.920

---

Entry 10:
! PBE ReI, optimized geometry; values from VASP
! crystal system: tetragonal
! E_form (uncorrected): 102.0 kJ/mol of formula units
! energy above the lowest structure with this stoichiometry: 0 meV per atom
&SYSTEM
  ibrav = 0, nat = 16, ntyp = 2
/
ATOMIC_SPECIES
I 126.90 I.upf
Re 186.21 Re.upf
CELL_PARAMETERS angstrom
-5.660 -5.113 -7.872
8.600 0.861 -6.742
1.249 -3.205 1.184
ATOMIC_POSITIONS angstrom
I 2.381 -4.616 -9.418
I 4.033 -3.142 -12.759
I 1.808 -2.842 -4.012
Re 3.109 -0.193 -3.801
Re 5.176 -3.807 -10.178
I -0.575 -4.750 -6.663
Re -0.982 -5.921 -9.403
I 6.604 0.579 -5.397
Re -0.987 -3.650 -3.252
I -3.663 -4.832 -9.216
Re -0.169 -4.060 -10.813
I 4.764 -2.708 -6.767
Re 5.171 -1.537 -4.027
I -1.093 -1.111 -1.855
Re 5.189 -1.456 -9.415
Re -2.248 -2.797 -5.199

---

Entry 11:
! PBE Rb2LiRe, optimized geometry; values from VASP
! formation enthalpy at 0 K: 1.60 eV/atom
! crystal system: cubic
! energy above the lowest structure with this stoichiometry: 0 meV per atom
&SYSTEM
  ibrav = 0, nat = 4, ntyp = 3
/
ATOMIC_SPECIES
Rb 85.47 Rb.upf
Re 186.21 Re.upf
Li 6.94 Li.upf
CELL_PARAMETERS angstrom
0.000 4.317 4.317
4.317 0.000 4.317
4.317 4.317 0.000
ATOMIC_POSITIONS angstrom
Rb 2.158 2.158 2.158
Rb 6.475 6.475 6.475
Re 4.317 4.317 4.317
Li 0.000 0.000 0.000

---

Entry 12:
! PBE TbHfZnIn, optimized geometry; values from VASP
! formation enthalpy at 0 K: -0.19 eV/atom
! crystal system: cubic
&SYSTEM
  ibrav = 0, nat = 4, ntyp = 4
/
ATOMIC_SPECIES
Zn 65.41 Zn.upf
Hf 178.49 Hf.upf
In 114.82 In.upf
Tb 158.93 Tb.upf
CELL_PARAMETERS angstrom
5.009 0.000 0.000
2.505 4.338 0.000
2.505 1.446 4.090
ATOMIC_POSITIONS angstrom
Zn 2.505 1.446 1.023
Hf 0.000 0.000 0.000
In 7.514 4.338 3.068
Tb 5.009 2.892 2.045

---

no.,total DFT energy (no corrections) (eV per atom)
1,-5.407
2,-4.481
3,-3.857
4,-2.115
5,-4.211
6,-3.272
7,-2.365
8,-7.068
9,-4.373
10,-6.471
11,-2.479
12,-4.837